# LaYO3 PBEsol relaxed
data_LaYO3
_chemical_formula_sum 'La4 Y4 O12'
_space_group_name_H-M_alt 'P n m a'
_space_group_IT_number 62
_cell_length_a 6.0392
_cell_length_b 8.4676
_cell_length_c 5.8368
_cell_angle_alpha 90.00
_cell_angle_beta 90.00
_cell_angle_gamma 90.00
loop_
_space_group_symop_operation_xyz
'x,y,z'
'-x,-y,-z'
'-x+1/2,-y,z+1/2'
'x+1/2,y,-z+1/2'
'x+1/2,-y+1/2,-z+1/2'
'-x+1/2,y+1/2,z+1/2'
'-x,y+1/2,-z'
'x,-y+1/2,z'
loop_
_atom_site_label
_atom_site_type_symbol
_atom_site_fract_x
_atom_site_fract_y
_atom_site_fract_z
_atom_site_occupancy
La1 La 0.0502 0.2500 0.0174 1
Y1 Y 0.0000 0.0000 0.5000 1
O1 O 0.0610 0.7500 0.3684 1
O2 O 0.1954 0.5709 0.8062 1
# Uncorrected energy, eV per cell: -182.1
# Spin magnetization, μB per cell: 0.00
# E_form (uncorrected), eV/atom: -3.520



# Cs2RbSb2 PBEsol relaxed
data_Cs2RbSb2
_chemical_formula_sum 'Cs4 Rb2 Sb4'
_space_group_name_H-M_alt 'I 4/m m m'
_space_group_IT_number 139
_space_group_name_Hall '-I 4 2'
_cell_length_a 5.6662
_cell_length_b 5.6662
_cell_length_c 15.3320
_cell_angle_alpha 90.00
_cell_angle_beta 90.00
_cell_angle_gamma 90.00
loop_
_atom_site_label
_atom_site_type_symbol
_atom_site_fract_x
_atom_site_fract_y
_atom_site_fract_z
_atom_site_occupancy
Cs1 Cs 0.0000 0.5000 0.2500 1
Rb1 Rb 0.0000 0.0000 0.0000 1
Sb1 Sb 0.0000 0.0000 0.4106 1
# ΔE to the lowest computed polymorph, eV/atom: 0.098
# Uncorrected energy, eV per cell: -26.5
# Spin magnetization, μB per cell: 0.00
# E_form (uncorrected), eV/atom: -0.241



# MnCdP2 PBEsol relaxed
data_MnCdP2
_chemical_formula_sum 'Mn1 Cd1 P2'
_space_group_name_H-M_alt 'P m m 2'
_space_group_IT_number 25
_cell_length_a 3.2851
_cell_length_b 3.2962
_cell_length_c 6.2806
_cell_angle_alpha 90.00
_cell_angle_beta 90.00
_cell_angle_gamma 90.00
loop_
_space_group_symop_operation_xyz
'x,y,z'
'-x,-y,z'
'-x,y,z'
'x,-y,z'
loop_
_atom_site_label
_atom_site_type_symbol
_atom_site_fract_x
_atom_site_fract_y
_atom_site_fract_z
_atom_site_occupancy
Mn1 Mn 0.0000 0.0000 0.0000 1
Cd1 Cd 0.5000 0.5000 0.4450 1
P1 P 0.0000 0.0000 0.6591 1
P2 P 0.5000 0.5000 0.0408 1
# Uncorrected energy, eV per cell: -22.0
# Spin magnetization, μB per cell: 2.02



# KIO3 PBEsol relaxed
data_KIO3
_chemical_formula_sum 'K6 I6 O18'
_space_group_name_H-M_alt 'R 3 c'
_space_group_IT_number 161
_space_group_name_Hall 'R 3 -2"c'
_cell_length_a 6.1823
_cell_length_b 6.1823
_cell_length_c 15.3913
_cell_angle_alpha 90.00
_cell_angle_beta 90.00
_cell_angle_gamma 120.00
loop_
_atom_site_label
_atom_site_type_symbol
_atom_site_fract_x
_atom_site_fract_y
_atom_site_fract_z
_atom_site_occupancy
K1 K 0.0000 0.0000 0.0000 1
I1 I 0.0000 0.0000 0.2501 1
O1 O 0.1372 0.3703 0.3597 1
# Uncorrected energy, eV per cell: -141.1
# Spin magnetization, μB per cell: 0.00
# E_form (uncorrected), eV/atom: -0.972



# TlSbTeN2 PBEsol relaxed
data_TlSbTeN2
_chemical_formula_sum 'Tl1 Sb1 Te1 N2'
_space_group_name_H-M_alt 'P 4/m m m'
_space_group_IT_number 123
_space_group_name_Hall '-P 4 2'
_cell_length_a 4.3738
_cell_length_b 4.3738
_cell_length_c 5.9801
_cell_angle_alpha 90.00
_cell_angle_beta 90.00
_cell_angle_gamma 90.00
loop_
_atom_site_label
_atom_site_type_symbol
_atom_site_fract_x
_atom_site_fract_y
_atom_site_fract_z
_atom_site_occupancy
Tl1 Tl 0.0000 0.0000 0.0000 1
Sb1 Sb 0.5000 0.5000 0.5000 1
Te1 Te 0.0000 0.0000 0.5000 1
N1 N 0.0000 0.5000 0.0000 1
# Uncorrected energy, eV per cell: -19.1
# Spin magnetization, μB per cell: 2.16
# E_form (uncorrected), eV/atom: 1.724



# Tb11O20 PBEsol relaxed
data_Tb11O20
_chemical_formula_sum 'Tb11 O20'
_space_group_name_H-M_alt 'P -1'
_space_group_IT_number 2
_cell_length_a 6.4420
_cell_length_b 6.6232
_cell_length_c 10.1376
_cell_angle_alpha 94.36
_cell_angle_beta 93.29
_cell_angle_gamma 98.26
loop_
_space_group_symop_operation_xyz
'x,y,z'
'-x,-y,-z'
loop_
_atom_site_label
_atom_site_type_symbol
_atom_site_fract_x
_atom_site_fract_y
_atom_site_fract_z
_atom_site_occupancy
Tb1 Tb 0.0000 0.0000 0.0000 1
Tb2 Tb 0.1264 0.5492 0.1718 1
Tb3 Tb 0.1794 0.1136 0.3692 1
Tb4 Tb 0.2711 0.6365 0.5206 1
Tb5 Tb 0.3696 0.1449 0.7225 1
Tb6 Tb 0.4666 0.7337 0.9242 1
O1 O 0.0355 0.4273 0.3691 1
O2 O 0.0361 0.1606 0.7965 1
O3 O 0.1207 0.6691 0.9631 1
O4 O 0.1550 0.9434 0.5654 1
O5 O 0.2080 0.2205 0.1605 1
O6 O 0.2869 0.7992 0.3298 1
O7 O 0.3328 0.0373 0.9293 1
O8 O 0.3738 0.3251 0.5388 1
O9 O 0.4628 0.8183 0.7041 1
O10 O 0.4713 0.5902 0.1285 1
# Uncorrected energy, eV per cell: -254.4
# Spin magnetization, μB per cell: 7.16
# E_form (uncorrected), eV/atom: -3.041



# HfCdTe2N PBEsol relaxed
data_HfCdTe2N
_chemical_formula_sum 'Hf1 Cd1 Te2 N1'
_space_group_name_H-M_alt 'P 4/m m m'
_space_group_IT_number 123
_space_group_name_Hall '-P 4 2'
_cell_length_a 5.5050
_cell_length_b 5.5050
_cell_length_c 3.9658
_cell_angle_alpha 90.00
_cell_angle_beta 90.00
_cell_angle_gamma 90.00
loop_
_atom_site_label
_atom_site_type_symbol
_atom_site_fract_x
_atom_site_fract_y
_atom_site_fract_z
_atom_site_occupancy
Hf1 Hf 0.0000 0.0000 0.0000 1
Cd1 Cd 0.5000 0.5000 0.5000 1
Te1 Te 0.0000 0.5000 0.5000 1
N1 N 0.5000 0.5000 0.0000 1
# Uncorrected energy, eV per cell: -22.3
# Spin magnetization, μB per cell: 1.00
# E_form (uncorrected), eV/atom: 0.993



# TlZnSi PBEsol relaxed
data_TlZnSi
_chemical_formula_sum 'Tl1 Zn1 Si1'
_space_group_name_H-M_alt 'P 3 m 1'
_space_group_IT_number 156
_cell_length_a 3.4546
_cell_length_b 3.4546
_cell_length_c 5.8156
_cell_angle_alpha 90.00
_cell_angle_beta 90.00
_cell_angle_gamma 120.00
loop_
_space_group_symop_operation_xyz
'x,y,z'
'-y,x-y,z'
'-x+y,-x,z'
'-y,-x,z'
'-x+y,y,z'
'x,x-y,z'
loop_
_atom_site_label
_atom_site_type_symbol
_atom_site_fract_x
_atom_site_fract_y
_atom_site_fract_z
_atom_site_occupancy
Tl1 Tl 0.0000 0.0000 0.0000 1
Zn1 Zn 0.6667 0.3333 0.6335 1
Si1 Si 0.3333 0.6667 0.3693 1
# ΔE to the lowest computed polymorph, eV/atom: 0.000
# Uncorrected energy, eV per cell: -8.8
# Spin magnetization, μB per cell: 0.00
# E_form (uncorrected), eV/atom: 0.370



# Cu3Br PBEsol relaxed
data_Cu3Br
_chemical_formula_sum 'Cu6 Br2'
_space_group_name_H-M_alt 'C 1 2/m 1'
_space_group_IT_number 12
_cell_length_a 7.1269
_cell_length_b 3.2600
_cell_length_c 5.4938
_cell_angle_alpha 90.00
_cell_angle_beta 100.42
_cell_angle_gamma 90.00
loop_
_space_group_symop_operation_xyz
'x,y,z'
'-x,-y,-z'
'-x,y,-z'
'x,-y,z'
'x+1/2,y+1/2,z'
'-x+1/2,-y+1/2,-z'
'-x+1/2,y+1/2,-z'
'x+1/2,-y+1/2,z'
loop_
_atom_site_label
_atom_site_type_symbol
_atom_site_fract_x
_atom_site_fract_y
_atom_site_fract_z
_atom_site_occupancy
Cu1 Cu 0.0000 0.0000 0.0000 1
Cu2 Cu 0.2294 0.5000 0.1823 1
Br1 Br 0.0000 0.5000 0.5000 1
# ΔE to the lowest computed polymorph, eV/atom: 0.061
# Uncorrected energy, eV per cell: -27.3
# Spin magnetization, μB per cell: 0.00
# E_form (uncorrected), eV/atom: 0.306



# KZr2Te PBEsol relaxed
data_KZr2Te
_chemical_formula_sum 'K2 Zr4 Te2'
_space_group_name_H-M_alt 'I m m m'
_space_group_IT_number 71
_space_group_name_Hall '-I 2 2'
_cell_length_a 3.4117
_cell_length_b 5.3836
_cell_length_c 11.7358
_cell_angle_alpha 90.00
_cell_angle_beta 90.00
_cell_angle_gamma 90.00
loop_
_atom_site_label
_atom_site_type_symbol
_atom_site_fract_x
_atom_site_fract_y
_atom_site_fract_z
_atom_site_occupancy
K1 K 0.0000 0.0000 0.0000 1
Zr1 Zr 0.0000 0.5000 0.2060 1
Te1 Te 0.0000 0.0000 0.5000 1
# Uncorrected energy, eV per cell: -44.6
# Spin magnetization, μB per cell: 0.00
# E_form (uncorrected), eV/atom: 0.132



# ZnMoPt2 PBEsol relaxed
data_ZnMoPt2
_chemical_formula_sum 'Zn1 Mo1 Pt2'
_space_group_name_H-M_alt 'P 4/m m m'
_space_group_IT_number 123
_space_group_name_Hall '-P 4 2'
_cell_length_a 2.7489
_cell_length_b 2.7489
_cell_length_c 7.6522
_cell_angle_alpha 90.00
_cell_angle_beta 90.00
_cell_angle_gamma 90.00
loop_
_atom_site_label
_atom_site_type_symbol
_atom_site_fract_x
_atom_site_fract_y
_atom_site_fract_z
_atom_site_occupancy
Zn1 Zn 0.0000 0.0000 0.0000 1
Mo1 Mo 0.0000 0.0000 0.5000 1
Pt1 Pt 0.5000 0.5000 0.2476 1
# Uncorrected energy, eV per cell: -29.1
# Spin magnetization, μB per cell: 0.00



What did the sixth record say?
# Tb11O20 PBEsol relaxed
data_Tb11O20
_chemical_formula_sum 'Tb11 O20'
_space_group_name_H-M_alt 'P -1'
_space_group_IT_number 2
_cell_length_a 6.4420
_cell_length_b 6.6232
_cell_length_c 10.1376
_cell_angle_alpha 94.36
_cell_angle_beta 93.29
_cell_angle_gamma 98.26
loop_
_space_group_symop_operation_xyz
'x,y,z'
'-x,-y,-z'
loop_
_atom_site_label
_atom_site_type_symbol
_atom_site_fract_x
_atom_site_fract_y
_atom_site_fract_z
_atom_site_occupancy
Tb1 Tb 0.0000 0.0000 0.0000 1
Tb2 Tb 0.1264 0.5492 0.1718 1
Tb3 Tb 0.1794 0.1136 0.3692 1
Tb4 Tb 0.2711 0.6365 0.5206 1
Tb5 Tb 0.3696 0.1449 0.7225 1
Tb6 Tb 0.4666 0.7337 0.9242 1
O1 O 0.0355 0.4273 0.3691 1
O2 O 0.0361 0.1606 0.7965 1
O3 O 0.1207 0.6691 0.9631 1
O4 O 0.1550 0.9434 0.5654 1
O5 O 0.2080 0.2205 0.1605 1
O6 O 0.2869 0.7992 0.3298 1
O7 O 0.3328 0.0373 0.9293 1
O8 O 0.3738 0.3251 0.5388 1
O9 O 0.4628 0.8183 0.7041 1
O10 O 0.4713 0.5902 0.1285 1
# Uncorrected energy, eV per cell: -254.4
# Spin magnetization, μB per cell: 7.16
# E_form (uncorrected), eV/atom: -3.041